InCoCuSb: relaxed, PBE-GGA.

Cell: 4.569 4.569 4.569 Å, 60.00 60.00 60.00°
Sites, in units of the cell vectors:
In (0.000, 0.000, 0.000)
Co (0.750, 0.750, 0.750)
Cu (0.250, 0.250, 0.250)
Sb (0.500, 0.500, 0.500)

Summary:
**Calculated total energy**: -4.142 eV per atom
**Symmetry**: F-43m
**Distance to the lowest polymorph of the same formula**: 0.000 eV per atom

=====

ZnRe3C: relaxed, PBE-GGA.

Cell: 4.077 4.077 4.077 Å, 90.00 90.00 90.00°
Sites, in units of the cell vectors:
Zn (0.000, 0.000, 0.000)
Re (0.000, 0.500, 0.500)
Re (0.500, 0.000, 0.500)
Re (0.500, 0.500, 0.000)
C (0.500, 0.500, 0.500)

Summary:
**Calculated total energy**: -9.105 eV per atom
**Symmetry**: Pm-3m

=====

SrGaPd: relaxed, PBE-GGA.

Cell: 5.001 5.001 5.001 Å, 60.00 60.00 60.00°
Sites, in units of the cell vectors:
Sr (0.000, 0.000, 0.000)
Ga (0.750, 0.750, 0.750)
Pd (0.250, 0.250, 0.250)

Summary:
**Calculated total energy**: -3.151 eV per atom
**Symmetry**: F-43m

=====

Ni2SnP: relaxed, PBE-GGA.

Cell: 12.922 3.588 5.098 Å, 90.00 90.00 90.00°
Sites, in units of the cell vectors:
Ni (0.079, 0.250, 0.014)
Ni (0.113, 0.250, 0.500)
Ni (0.387, 0.750, 0.000)
Ni (0.421, 0.750, 0.514)
Ni (0.579, 0.250, 0.486)
Ni (0.613, 0.250, 0.000)
Ni (0.887, 0.750, 0.500)
Ni (0.921, 0.750, 0.986)
Sn (0.207, 0.750, 0.786)
Sn (0.293, 0.250, 0.286)
Sn (0.707, 0.750, 0.714)
Sn (0.793, 0.250, 0.214)
P (0.044, 0.750, 0.286)
P (0.456, 0.250, 0.786)
P (0.544, 0.750, 0.214)
P (0.956, 0.250, 0.714)

Summary:
**Calculated total energy**: -5.540 eV per atom
**Symmetry**: Pnma

=====

Ba2NiPd: relaxed, PBE-GGA.

Cell: 5.285 5.285 5.285 Å, 60.00 60.00 60.00°
Sites, in units of the cell vectors:
Ba (0.000, 0.000, 0.000)
Ba (0.250, 0.250, 0.250)
Ni (0.500, 0.500, 0.500)
Pd (0.750, 0.750, 0.750)

Summary:
**Calculated total energy**: -3.420 eV per atom
**Symmetry**: F-43m

=====

PuThNi: relaxed, PBE-GGA.

Cell: 4.464 4.464 4.464 Å, 60.00 60.00 60.00°
Sites, in units of the cell vectors:
Pu (0.000, 0.000, 0.000)
Th (0.250, 0.250, 0.250)
Ni (0.500, 0.500, 0.500)

Summary:
**Calculated total energy**: -8.189 eV per atom
**Symmetry**: F-43m
**Energy of formation**: 0.8469 eV/atom

=====

Number 1: ρ 8.838 g/cm3. Number 2: ρ 15.586 g/cm3. Number 3: ρ 4.951 g/cm3. Number 4: ρ 7.505 g/cm3. Number 5: ρ 6.997 g/cm3. Number 6: ρ 14.118 g/cm3.